# Be2NbCl, relaxed, DFT PBE-GGA
# * N(E_F): 16.5 states/eV/cell
# * raw formation energy: 1118 meV/atom
# * theoretical density: 4.17 g cm⁻³
# * energy above the most stable polymorph in this dataset: 524 meV/atom
# * E_tot: -59.583 eV/cell
# * total moment: 0.00 μB per formula unit
data_Be2NbCl
_cell_length_a 6.155
_cell_length_b 6.155
_cell_length_c 6.155
_cell_angle_alpha 90.00
_cell_angle_beta 90.00
_cell_angle_gamma 90.00
_symmetry_space_group_name_H-M 'F m -3 m'
_symmetry_Int_Tables_number 225
_symmetry_space_group_name_Hall '-F 4 2 3'
loop_
_atom_site_label
_atom_site_type_symbol
_atom_site_fract_x
_atom_site_fract_y
_atom_site_fract_z
Be1 Be 0.250 0.250 0.250
Nb1 Nb 0.000 0.000 0.000
Cl1 Cl 0.000 0.000 0.500

# Cs3Hg7Au4, relaxed, DFT PBE-GGA
# * N(E_F): 4.9 states/eV/cell
# * theoretical density: 9.79 g cm⁻³
# * DFT formation energy: -198 meV/atom
# * E_tot: -41.108 eV/cell
# * total moment: 0.00 μB per formula unit
data_Cs3Hg7Au4
_cell_length_a 19.045
_cell_length_b 5.159
_cell_length_c 10.885
_cell_angle_alpha 90.00
_cell_angle_beta 124.71
_cell_angle_gamma 90.00
_symmetry_space_group_name_H-M 'C 1 2/m 1'
_symmetry_Int_Tables_number 12
loop_
_symmetry_equiv_pos_as_xyz
'x,y,z'
'-x,-y,-z'
'-x,y,-z'
'x,-y,z'
'x+1/2,y+1/2,z'
'-x+1/2,-y+1/2,-z'
'-x+1/2,y+1/2,-z'
'x+1/2,-y+1/2,z'
loop_
_atom_site_label
_atom_site_type_symbol
_atom_site_fract_x
_atom_site_fract_y
_atom_site_fract_z
Cs1 Cs 0.000 0.000 0.000
Cs2 Cs 0.187 0.500 0.689
Hg1 Hg 0.000 0.000 0.500
Hg2 Hg 0.001 0.500 0.721
Hg3 Hg 0.163 0.000 0.423
Hg4 Hg 0.182 0.500 0.034
Au1 Au 0.129 0.000 0.852
Au2 Au 0.158 0.500 0.282

# TlAuCl5, relaxed, DFT PBE-GGA
# * raw formation energy: -489 meV/atom
# * theoretical density: 4.10 g cm⁻³
# * E_tot: -36.601 eV/cell
# * total moment: 0.00 μB per formula unit
data_TlAuCl5
_cell_length_a 7.733
_cell_length_b 7.922
_cell_length_c 8.816
_cell_angle_alpha 116.12
_cell_angle_beta 100.11
_cell_angle_gamma 95.49
_symmetry_space_group_name_H-M 'P -1'
_symmetry_Int_Tables_number 2
loop_
_symmetry_equiv_pos_as_xyz
'x,y,z'
'-x,-y,-z'
loop_
_atom_site_label
_atom_site_type_symbol
_atom_site_fract_x
_atom_site_fract_y
_atom_site_fract_z
Tl1 Tl 0.000 0.000 0.000
Tl2 Tl 0.500 0.000 0.500
Au1 Au 0.111 0.386 0.749
Cl1 Cl 0.097 0.672 0.737
Cl2 Cl 0.131 0.092 0.743
Cl3 Cl 0.180 0.639 0.217
Cl4 Cl 0.301 0.108 0.169
Cl5 Cl 0.401 0.414 0.715

# LiSn3Pd12, relaxed, DFT PBE-GGA
# * N(E_F): 12.5 states/eV/cell
# * theoretical density: 10.60 g cm⁻³
# * DFT formation energy: -430 meV/atom
# * E_tot: -83.122 eV/cell
# * total moment: 0.00 μB per formula unit
data_LiSn3Pd12
_cell_length_a 4.037
_cell_length_b 4.037
_cell_length_c 15.764
_cell_angle_alpha 90.00
_cell_angle_beta 90.00
_cell_angle_gamma 90.00
_symmetry_space_group_name_H-M 'P 4/m m m'
_symmetry_Int_Tables_number 123
_symmetry_space_group_name_Hall '-P 4 2'
loop_
_atom_site_label
_atom_site_type_symbol
_atom_site_fract_x
_atom_site_fract_y
_atom_site_fract_z
Li1 Li 0.000 0.000 0.000
Sn1 Sn 0.000 0.000 0.242
Sn2 Sn 0.000 0.000 0.500
Pd1 Pd 0.000 0.500 0.119
Pd2 Pd 0.000 0.500 0.372
Pd3 Pd 0.500 0.500 0.000
Pd4 Pd 0.500 0.500 0.246
Pd5 Pd 0.500 0.500 0.500

# Ru4PtRh, relaxed, DFT PBE-GGA
# * N(E_F): 42.0 states/eV/cell
# * theoretical density: 12.78 g cm⁻³
# * DFT formation energy: 553 meV/atom
# * energy above the most stable polymorph in this dataset: 521 meV/atom
# * E_tot: -188.707 eV/cell
# * total moment: 2.76 μB per formula unit
data_Ru4PtRh
_cell_length_a 7.147
_cell_length_b 7.147
_cell_length_c 7.147
_cell_angle_alpha 90.00
_cell_angle_beta 90.00
_cell_angle_gamma 90.00
_symmetry_space_group_name_H-M 'F -4 3 m'
_symmetry_Int_Tables_number 216
_symmetry_space_group_name_Hall 'F -4 2 3'
loop_
_atom_site_label
_atom_site_type_symbol
_atom_site_fract_x
_atom_site_fract_y
_atom_site_fract_z
Ru1 Ru 0.125 0.125 0.125
Pt1 Pt 0.000 0.000 0.500
Rh1 Rh 0.250 0.250 0.750

- Among the records above, which one has the highest E_tot?
  TlAuCl5